4
Lattice="-2.082 -2.242 -4.222 2.497 -3.914 -2.373 -1.888 -4.852 0.287" Properties=species:S:1:pos:R:3 comment="AlSbBr2 GGA-PBE optimized geometry" spacegroup="F-43m (216)" volume_a3_per_cell=100 n_ef_per_ev_fu=4.8 magnetic_moment_mub_per_atom=0.00 e_form_raw_ev_per_atom=0.218 pbc="T T T"
Sb -1.105 -8.255 -4.731
Al -0.737 -5.504 -3.154
Br 0.000 0.000 0.000
Br -0.368 -2.752 -1.577


5
Lattice="-4.488 -1.590 -1.594 -1.516 -0.494 4.761 -1.665 4.737 -0.038" Properties=species:S:1:pos:R:3 comment="BeTlPt3 GGA-PBE optimized geometry" spacegroup="Pm-3m (221)" delta_e_f_kj_per_mol_atoms=161 volume_a3_per_cell=127 n_ef_per_ev_fu=2.7 magnetic_moment_mub_per_atom=0.00 pbc="T T T"
Be -3.834 1.326 1.565
Tl 0.000 0.000 0.000
Pt -0.758 -0.247 2.381
Pt -0.832 2.368 -0.019
Pt -2.244 -0.795 -0.797


3
Lattice="4.565 0.000 0.000 2.282 3.953 0.000 2.282 1.318 3.727" Properties=species:S:1:pos:R:3 comment="ZnGaSn GGA-PBE optimized geometry" spacegroup="F-43m (216)" delta_e_f_kj_per_mol_atoms=7 volume_a3_per_cell=67 n_ef_per_ev_fu=2.5 magnetic_moment_mub_per_atom=0.00 pbc="T T T"
Zn 2.282 1.318 0.932
Sn 4.565 2.635 1.864
Ga 0.000 0.000 0.000


8
Lattice="-1.861 -1.845 5.688 -5.281 -2.287 -2.470 -0.279 -8.557 0.581" Properties=species:S:1:pos:R:3 comment="Bi2PdPb GGA-PBE optimized geometry" spacegroup="I-42d (122)" delta_e_f_kj_per_mol_atoms=8 volume_a3_per_cell=288 n_ef_per_ev_fu=1.7 magnetic_moment_mub_per_atom=0.00 pbc="T T T"
Pb 0.000 0.000 0.000
Pb -2.855 -6.234 3.939
Bi -1.775 -3.461 3.032
Bi -3.721 -3.916 -0.327
Bi -3.221 -8.112 1.487
Bi -6.124 -9.889 3.409
Pd -3.571 -2.066 1.609
Pd -4.565 -6.455 -0.139


5
Lattice="4.972 0.000 0.000 0.000 4.972 0.000 0.000 0.000 4.536" Properties=species:S:1:pos:R:3 comment="NaTlIn2H GGA-PBE optimized geometry" spacegroup="P4/mmm (123)" volume_a3_per_cell=112 n_ef_per_ev_fu=1.8 dft_energy_ev_per_atom=-2.441 magnetic_moment_mub_per_atom=0.00 pbc="T T T"
Na 0.000 0.000 2.268
Tl 2.486 2.486 2.268
H 0.000 0.000 0.000
In 0.000 2.486 0.000
In 2.486 0.000 0.000


6
Lattice="0.000 3.490 3.490 3.490 0.000 3.490 3.490 3.490 0.000" Properties=species:S:1:pos:R:3 comment="CaCr4Ru GGA-PBE optimized geometry" spacegroup="F-43m (216)" delta_e_f_kj_per_mol_atoms=45 volume_a3_per_cell=85 n_ef_per_ev_fu=7.1 magnetic_moment_mub_per_atom=0.00 pbc="T T T"
Ca 0.000 0.000 0.000
Cr 2.621 4.360 4.360
Cr 4.360 4.360 2.621
Cr 4.360 2.621 4.360
Cr 2.621 2.621 2.621
Ru 5.236 5.236 5.236


5
Lattice="-3.375 -0.637 5.782 -0.031 -6.683 -0.755 5.817 -0.406 3.351" Properties=species:S:1:pos:R:3 comment="Cs3WS GGA-PBE optimized geometry" spacegroup="Pm-3m (221)" volume_a3_per_cell=304 n_ef_per_ev_fu=0.0 magnetic_moment_mub_per_atom=1.00 e_form_raw_ev_per_atom=0.726 pbc="T T T"
Cs -0.016 -3.341 -0.377
Cs 2.908 -0.203 1.675
Cs -1.688 -0.319 2.891
S 0.000 0.000 0.000
W 1.205 -3.863 4.189


4
Lattice="-0.870 1.532 2.287 -1.918 -1.515 -1.537 1.381 -7.114 5.291" Properties=species:S:1:pos:R:3 comment="CdNi GGA-PBE optimized geometry" spacegroup="P-3m1 (164)" delta_e_f_kj_per_mol_atoms=23 volume_a3_per_cell=65 n_ef_per_ev_fu=2.4 magnetic_moment_mub_per_atom=0.32 pbc="T T T"
Cd 1.338 -6.893 5.126
Cd -1.181 -2.499 1.225
Ni 0.728 -3.748 2.788
Ni -0.570 -5.644 3.564


5
Lattice="-1.350 -4.816 2.888 4.550 0.803 3.466 -3.292 3.085 3.606" Properties=species:S:1:pos:R:3 comment="Cs3NiP GGA-PBE optimized geometry" spacegroup="Pm-3m (221)" delta_e_f_kj_per_mol_atoms=61 volume_a3_per_cell=193 n_ef_per_ev_fu=6.8 magnetic_moment_mub_per_atom=0.23 pbc="T T T"
Cs 2.275 0.402 1.733
Cs -1.646 1.543 1.803
Cs -0.675 -2.408 1.444
Ni 0.000 0.000 0.000
P -0.046 -0.464 4.980


4
Lattice="3.039 0.016 0.000 -0.852 2.917 0.000 0.000 0.000 9.938" Properties=species:S:1:pos:R:3 comment="SrMo2Pb GGA-PBE optimized geometry" spacegroup="Cmmm (65)" delta_e_f_kj_per_mol_atoms=106 volume_a3_per_cell=88 n_ef_per_ev_fu=4.1 magnetic_moment_mub_per_atom=0.00 pbc="T T T"
Mo 0.000 0.000 0.242
Mo 0.000 0.000 4.727
Pb 1.094 1.467 2.485
Sr 1.094 1.467 7.454


16
Lattice="9.588 0.000 0.000 0.000 9.954 0.248 -4.794 -4.791 6.785" Properties=species:S:1:pos:R:3 comment="Ba8PtSe3I4 GGA-PBE optimized geometry" spacegroup="R-3m (166)" volume_a3_per_cell=659 n_ef_per_ev_fu=10.1 magnetic_moment_mub_per_atom=0.16 e_form_raw_ev_per_atom=-1.553 pbc="T T T"
Ba -2.485 2.354 6.807
Ba 0.000 4.837 3.293
Ba 0.000 0.346 3.634
Ba 2.485 2.354 6.807
Ba 2.309 2.809 0.226
Ba 4.794 4.817 3.399
Ba 4.794 0.326 3.740
Ba 7.279 2.809 0.226
Pt 0.000 4.977 0.124
Se 4.794 4.977 0.124
Se 2.397 2.581 3.517
Se -2.397 2.581 3.517
I 4.794 0.000 0.000
I 2.397 -2.396 3.393
I 0.000 0.000 0.000
I -2.397 -2.396 3.393


5
Lattice="-5.013 -1.234 3.010 -0.324 -4.290 -2.299 3.229 -2.562 4.327" Properties=species:S:1:pos:R:3 comment="TaPb2SeBr GGA-PBE optimized geometry" spacegroup="P4/mmm (123)" volume_a3_per_cell=174 n_ef_per_ev_fu=4.4 magnetic_moment_mub_per_atom=0.16 e_form_raw_ev_per_atom=0.627 pbc="T T T"
Pb 1.614 -1.281 2.164
Pb -2.507 -0.617 1.505
Se 0.000 0.000 0.000
Br -1.054 -4.043 2.519
Ta -0.162 -2.145 -1.149


4
Lattice="-1.979 -0.370 -2.279 0.518 -3.011 0.039 -4.577 -2.284 4.344" Properties=species:S:1:pos:R:3 comment="LiTc2Cl GGA-PBE optimized geometry" spacegroup="Amm2 (38)" volume_a3_per_cell=61 n_ef_per_ev_fu=1.1 magnetic_moment_mub_per_atom=0.00 e_form_raw_ev_per_atom=-0.185 pbc="T T T"
Cl -2.504 -2.145 2.522
Li -3.914 -3.945 2.010
Tc -4.539 -2.471 4.342
Tc -1.686 -2.036 -0.234


6
Lattice="-0.404 1.183 4.906 -4.367 -0.778 2.440 -0.342 -3.671 3.470" Properties=species:S:1:pos:R:3 comment="ScV4Mo GGA-PBE optimized geometry" spacegroup="F-43m (216)" delta_e_f_kj_per_mol_atoms=10 volume_a3_per_cell=92 n_ef_per_ev_fu=13.8 magnetic_moment_mub_per_atom=0.00 pbc="T T T"
Sc 0.000 0.000 0.000
Mo -1.278 -0.816 2.704
V -3.026 -0.201 5.024
V -1.008 -1.652 5.540
V -3.198 -2.042 6.764
V -2.995 -2.635 4.303


8
Lattice="7.058 0.000 0.000 0.000 7.058 0.000 3.529 3.529 4.211" Properties=species:S:1:pos:R:3 comment="Sr2PO GGA-PBE optimized geometry" spacegroup="I-42d (122)" volume_a3_per_cell=210 n_ef_per_ev_fu=0.0 magnetic_moment_mub_per_atom=0.25 e_form_raw_ev_per_atom=-1.550 pbc="T T T"
Sr 4.775 1.765 1.053
Sr 2.283 5.294 1.053
Sr 5.294 5.812 3.158
Sr 8.823 8.304 3.158
O 3.529 3.529 0.000
O 3.529 7.058 2.105
P 0.000 0.000 0.000
P 7.058 3.529 2.105


13
Lattice="-5.327 7.760 -2.166 -8.624 4.249 -0.927 -6.297 6.838 2.624" Properties=species:S:1:pos:R:3 comment="Sc6Co7 GGA-PBE optimized geometry" spacegroup="R-3m (166)" delta_e_f_kj_per_mol_atoms=-22 volume_a3_per_cell=198 n_ef_per_ev_fu=15.8 magnetic_moment_mub_per_atom=0.34 pbc="T T T"
Sc -19.164 17.837 -0.444
Sc -1.085 1.009 -0.025
Sc -17.127 15.941 -0.396
Sc -3.121 2.905 -0.072
Sc -13.481 12.548 -0.312
Sc -6.767 6.298 -0.157
Co -10.874 11.535 -1.283
Co -11.363 11.070 1.135
Co -12.538 9.763 -0.657
Co -9.374 7.311 0.814
Co -7.710 9.084 0.189
Co -8.885 7.777 -1.604
Co -10.124 9.423 -0.234


5
Lattice="-2.763 2.265 1.680 2.706 -1.066 5.886 2.304 3.170 -0.485" Properties=species:S:1:pos:R:3 comment="ScInPF2 GGA-PBE optimized geometry" spacegroup="P4/mmm (123)" volume_a3_per_cell=102 n_ef_per_ev_fu=1.7 magnetic_moment_mub_per_atom=0.00 e_form_raw_ev_per_atom=-1.866 pbc="T T T"
Sc 0.000 0.000 0.000
P 1.123 2.185 3.541
F 1.152 1.585 -0.242
F -1.382 1.133 0.840
In 1.353 -0.533 2.943


4
Lattice="3.938 0.000 0.000 0.000 6.722 0.000 0.000 0.000 3.901" Properties=species:S:1:pos:R:3 comment="AlCuBr2 GGA-PBE optimized geometry" spacegroup="Pmmm (47)" volume_a3_per_cell=103 n_ef_per_ev_fu=1.7 magnetic_moment_mub_per_atom=0.00 e_form_raw_ev_per_atom=0.090 pbc="T T T"
Cu 1.969 0.000 1.951
Br 0.000 0.000 0.000
Br 1.969 3.361 0.000
Al 0.000 3.361 1.951


5
Lattice="-4.461 4.152 -2.571 2.396 -1.025 -5.812 -4.202 -5.038 -0.844" Properties=species:S:1:pos:R:3 comment="KRb2AgW GGA-PBE optimized geometry" spacegroup="P4/mmm (123)" delta_e_f_kj_per_mol_atoms=134 volume_a3_per_cell=279 n_ef_per_ev_fu=4.3 magnetic_moment_mub_per_atom=1.18 pbc="T T T"
K 1.198 -0.513 -2.906
Rb -2.101 -2.519 -0.422
Rb -2.231 2.076 -1.286
Ag 0.000 0.000 0.000
W -3.134 -0.956 -4.613


5
Lattice="-3.742 0.493 2.862 2.682 -1.207 3.713 1.115 4.554 0.675" Properties=species:S:1:pos:R:3 comment="MgTaRu3 GGA-PBE optimized geometry" spacegroup="Pm-3m (221)" delta_e_f_kj_per_mol_atoms=112 volume_a3_per_cell=106 n_ef_per_ev_fu=5.2 magnetic_moment_mub_per_atom=0.50 pbc="T T T"
Ru 1.341 -0.603 1.857
Ru 0.558 2.277 0.337
Ru -1.871 0.246 1.431
Mg 0.028 1.920 3.625
Ta 0.000 0.000 0.000